Record 1
## Mn2SiAs (GGA-PBE)

Data for Mn2SiAs after structural relaxation.

Results
- SG: No. 12
- Formation energy without anion corrections: 0.07 eV/f.u.
- DOS at the Fermi energy: 0.8402 states/eV/atom

a = 7.7564 Å, b = 3.0199 Å, c = 4.5744 Å
α = 90.00°, β = 100.28°, γ = 90.00°
With the nearest neighbours (Å) after each atom.
Fractional coordinates of all 8 atoms:
Mn  0.2485  0.0000  0.2429  3 Si 2.41-2.54, 3 As 2.43-2.58, 2 Mn 2.69
Mn  0.2515  0.5000  0.7571  3 Si 2.41-2.54, 3 As 2.43-2.58, 2 Mn 2.69
Mn  0.7485  0.5000  0.2429  3 Si 2.41-2.54, 3 As 2.43-2.58, 2 Mn 2.69
Mn  0.7515  0.0000  0.7571  3 Si 2.41-2.54, 3 As 2.43-2.58, 2 Mn 2.69
Si  0.0000  0.5000  0.0000  6 Mn 2.41-2.54
Si  0.5000  0.0000  0.0000  6 Mn 2.41-2.54
As  0.0000  0.0000  0.5000  6 Mn 2.43-2.58
As  0.5000  0.5000  0.5000  6 Mn 2.43-2.58


Record 2
## Ba3ZrV (GGA-PBE)

Data for Ba3ZrV after structural relaxation.

Results
- Relative energy among the computed polymorphs: 0.000 eV per atom
- SG: No. 221
- DOS at the Fermi energy: 2.9677 states/eV/atom

a = 6.1051 Å, b = 6.1051 Å, c = 6.1051 Å
α = 90.00°, β = 90.00°, γ = 90.00°
With the nearest neighbours (Å) after each atom.
Fractional coordinates of all 5 atoms:
Ba  0.0000  0.0000  0.5000  2 V 3.05
Ba  0.0000  0.5000  0.0000  2 V 3.05
Ba  0.5000  0.0000  0.0000  2 V 3.05
Zr  0.5000  0.5000  0.5000  12 Ba 4.32
V  0.0000  0.0000  0.0000  6 Ba 3.05


Record 3
## InCu6 (GGA-PBE)

Data for InCu6 after structural relaxation.

Results
- Relative energy among the computed polymorphs: 0.640 eV per atom
- SG: No. 229
- DOS at the Fermi energy: 0.3681 states/eV/atom

a = 6.5110 Å, b = 6.5110 Å, c = 6.5110 Å
α = 90.00°, β = 90.00°, γ = 90.00°
With the nearest neighbours (Å) after each atom.
Fractional coordinates of all 14 atoms:
In  0.0000  0.0000  0.0000  24 Cu 3.64
In  0.5000  0.5000  0.5000  24 Cu 3.64
Cu  0.0000  0.2500  0.5000  4 Cu 2.30
Cu  0.0000  0.5000  0.2500  4 Cu 2.30
Cu  0.0000  0.5000  0.7500  4 Cu 2.30
Cu  0.0000  0.7500  0.5000  4 Cu 2.30
Cu  0.2500  0.0000  0.5000  4 Cu 2.30
Cu  0.2500  0.5000  0.0000  4 Cu 2.30
Cu  0.5000  0.0000  0.2500  4 Cu 2.30
Cu  0.5000  0.0000  0.7500  4 Cu 2.30
Cu  0.5000  0.2500  0.0000  4 Cu 2.30
Cu  0.5000  0.7500  0.0000  4 Cu 2.30
Cu  0.7500  0.0000  0.5000  4 Cu 2.30
Cu  0.7500  0.5000  0.0000  4 Cu 2.30


Record 4
## Tb2NdAgHg4 (GGA-PBE)

Data for Tb2NdAgHg4 after structural relaxation.

Results
- E_tot: -21.16 eV/cell
- SG: No. 166
- DOS at the Fermi energy: 0.8111 states/eV/atom

a = 9.4678 Å, b = 9.4678 Å, c = 9.4678 Å
α = 31.25°, β = 31.25°, γ = 31.25°
With the nearest neighbours (Å) after each atom.
Fractional coordinates of all 8 atoms:
Tb  0.2393  0.2393  0.2393  7 Hg 3.06-3.21
Tb  0.7607  0.7607  0.7607  7 Hg 3.06-3.21
Nd  0.0000  0.0000  0.0000  8 Hg 3.20-3.38
Ag  0.5000  0.5000  0.5000  8 Hg 3.15-3.25
Hg  0.1251  0.1251  0.1251  4 Tb 3.06-3.08, 3 Ag 3.15, 1 Nd 3.38
Hg  0.3797  0.3797  0.3797  3 Nd 3.20, 3 Tb 3.21, 1 Ag 3.25
Hg  0.6203  0.6203  0.6203  3 Nd 3.20, 3 Tb 3.21, 1 Ag 3.25
Hg  0.8749  0.8749  0.8749  4 Tb 3.06-3.08, 3 Ag 3.15, 1 Nd 3.38


Record 5
## Hf2BeRe (GGA-PBE)

Data for Hf2BeRe after structural relaxation.

Results
- E_tot: -136.03 eV/cell
- SG: No. 122
- DOS at the Fermi energy: 0.7906 states/eV/atom

a = 7.2333 Å, b = 7.2333 Å, c = 5.4209 Å
α = 90.00°, β = 90.00°, γ = 90.00°
With the nearest neighbours (Å) after each atom.
Fractional coordinates of all 16 atoms:
Hf  0.2448  0.7500  0.1250  2 Be 2.62, 2 Re 2.67, 2 Hf 2.71
Hf  0.2500  0.2448  0.8750  2 Be 2.62, 2 Re 2.67, 2 Hf 2.71
Hf  0.2500  0.2552  0.3750  2 Be 2.62, 2 Re 2.67, 2 Hf 2.71
Hf  0.2552  0.7500  0.6250  2 Be 2.62, 2 Re 2.67, 2 Hf 2.71
Hf  0.7448  0.2500  0.6250  2 Be 2.62, 2 Re 2.67, 2 Hf 2.71
Hf  0.7500  0.7448  0.3750  2 Be 2.62, 2 Re 2.67, 2 Hf 2.71
Hf  0.7500  0.7552  0.8750  2 Be 2.62, 2 Re 2.67, 2 Hf 2.71
Hf  0.7552  0.2500  0.1250  2 Be 2.62, 2 Re 2.67, 2 Hf 2.71
Be  0.0000  0.0000  0.0000  4 Hf 2.62, 2 Re 2.71
Be  0.0000  0.5000  0.2500  4 Hf 2.62, 2 Re 2.71
Be  0.5000  0.0000  0.7500  4 Hf 2.62, 2 Re 2.71
Be  0.5000  0.5000  0.5000  4 Hf 2.62, 2 Re 2.71
Re  0.0000  0.0000  0.5000  4 Hf 2.67, 2 Be 2.71
Re  0.0000  0.5000  0.7500  4 Hf 2.67, 2 Be 2.71
Re  0.5000  0.0000  0.2500  4 Hf 2.67, 2 Be 2.71
Re  0.5000  0.5000  0.0000  4 Hf 2.67, 2 Be 2.71


Record 6
## Al2Cu5Pd12 (GGA-PBE)

Data for Al2Cu5Pd12 after structural relaxation.

Results
- E_tot: -94.97 eV/cell
- SG: No. 12
- DOS at the Fermi energy: 0.3229 states/eV/atom

a = 8.5204 Å, b = 8.5204 Å, c = 4.5619 Å
α = 102.47°, β = 102.47°, γ = 61.61°
With the nearest neighbours (Å) after each atom.
Fractional coordinates of all 19 atoms:
Al  0.2499  0.7501  0.0000  6 Pd 2.49-2.59
Al  0.7501  0.2499  0.0000  6 Pd 2.49-2.59
Cu  0.0000  0.0000  0.5000  8 Pd 2.54-2.80, 2 Cu 2.81
Cu  0.1976  0.1976  0.6071  8 Pd 2.60-2.89, 3 Cu 2.65-2.81
Cu  0.2979  0.2979  0.1795  9 Pd 2.65-2.85, 2 Cu 2.65-2.72
Cu  0.7021  0.7021  0.8205  9 Pd 2.65-2.85, 2 Cu 2.65-2.72
Cu  0.8024  0.8024  0.3929  8 Pd 2.60-2.89, 3 Cu 2.65-2.81
Pd  0.0536  0.5412  0.7889  4 Cu 2.60-2.89, 7 Pd 2.64-2.86, 1 Al 2.88
Pd  0.0984  0.0984  0.0460  5 Cu 2.54-2.83, 2 Al 2.59, 3 Pd 2.70-2.81
Pd  0.1615  0.6470  0.3796  1 Al 2.49, 3 Cu 2.63-2.70, 4 Pd 2.72-2.78
Pd  0.3530  0.8385  0.6204  1 Al 2.49, 3 Cu 2.63-2.70, 4 Pd 2.72-2.78
Pd  0.4143  0.4143  0.7824  2 Al 2.59, 5 Pd 2.74-2.78, 2 Cu 2.78-2.85
Pd  0.4588  0.9464  0.2111  4 Cu 2.60-2.89, 7 Pd 2.64-2.86, 1 Al 2.88
Pd  0.5412  0.0536  0.7889  4 Cu 2.60-2.89, 7 Pd 2.64-2.86, 1 Al 2.88
Pd  0.5857  0.5857  0.2176  2 Al 2.59, 5 Pd 2.74-2.78, 2 Cu 2.78-2.85
Pd  0.6470  0.1615  0.3796  1 Al 2.49, 3 Cu 2.63-2.70, 4 Pd 2.72-2.78
Pd  0.8385  0.3530  0.6204  1 Al 2.49, 3 Cu 2.63-2.70, 4 Pd 2.72-2.78
Pd  0.9016  0.9016  0.9540  5 Cu 2.54-2.83, 2 Al 2.59, 3 Pd 2.70-2.81
Pd  0.9464  0.4588  0.2111  4 Cu 2.60-2.89, 7 Pd 2.64-2.86, 1 Al 2.88


Record 7
## DyInPd4 (GGA-PBE)

Data for DyInPd4 after structural relaxation.

Results
- E_tot: -64.12 eV/cell
- SG: No. 12
- DOS at the Fermi energy: 0.3868 states/eV/atom

a = 9.5654 Å, b = 3.8585 Å, c = 6.2650 Å
α = 90.00°, β = 111.47°, γ = 90.00°
With the nearest neighbours (Å) after each atom.
Fractional coordinates of all 12 atoms:
Dy  0.0000  0.0000  0.0000  10 Pd 2.87-2.97, 2 In 3.13
Dy  0.5000  0.5000  0.0000  10 Pd 2.87-2.97, 2 In 3.13
In  0.0000  0.0000  0.5000  10 Pd 2.83-3.00, 2 Dy 3.13
In  0.5000  0.5000  0.5000  10 Pd 2.83-3.00, 2 Dy 3.13
Pd  0.1640  0.5000  0.3377  6 Pd 2.85-3.03, 2 Dy 2.87, 3 In 2.90-3.00
Pd  0.1674  0.5000  0.8232  2 In 2.83, 6 Pd 2.92-3.03, 3 Dy 2.96-2.97
Pd  0.3326  0.0000  0.1768  2 In 2.83, 6 Pd 2.92-3.03, 3 Dy 2.96-2.97
Pd  0.3360  0.0000  0.6623  6 Pd 2.85-3.03, 2 Dy 2.87, 3 In 2.90-3.00
Pd  0.6640  0.0000  0.3377  6 Pd 2.85-3.03, 2 Dy 2.87, 3 In 2.90-3.00
Pd  0.6674  0.0000  0.8232  2 In 2.83, 6 Pd 2.92-3.03, 3 Dy 2.96-2.97
Pd  0.8326  0.5000  0.1768  2 In 2.83, 6 Pd 2.92-3.03, 3 Dy 2.96-2.97
Pd  0.8360  0.5000  0.6623  6 Pd 2.85-3.03, 2 Dy 2.87, 3 In 2.90-3.00


Record 8
## TiVZnRe (GGA-PBE)

Data for TiVZnRe after structural relaxation.

Results
- E_tot: -125.84 eV/cell
- SG: No. 216
- DOS at the Fermi energy: 0.3915 states/eV/atom

a = 6.1569 Å, b = 6.1569 Å, c = 6.1569 Å
α = 90.00°, β = 90.00°, γ = 90.00°
With the nearest neighbours (Å) after each atom.
Fractional coordinates of all 16 atoms:
Ti  0.0000  0.0000  0.0000  4 Re 2.67, 4 Zn 2.67
Ti  0.0000  0.5000  0.5000  4 Re 2.67, 4 Zn 2.67
Ti  0.5000  0.0000  0.5000  4 Re 2.67, 4 Zn 2.67
Ti  0.5000  0.5000  0.0000  4 Re 2.67, 4 Zn 2.67
V  0.0000  0.0000  0.5000  4 Zn 2.67, 4 Re 2.67
V  0.0000  0.5000  0.0000  4 Zn 2.67, 4 Re 2.67
V  0.5000  0.0000  0.0000  4 Zn 2.67, 4 Re 2.67
V  0.5000  0.5000  0.5000  4 Zn 2.67, 4 Re 2.67
Zn  0.2500  0.2500  0.7500  4 Ti 2.67, 4 V 2.67
Zn  0.2500  0.7500  0.2500  4 Ti 2.67, 4 V 2.67
Zn  0.7500  0.2500  0.2500  4 Ti 2.67, 4 V 2.67
Zn  0.7500  0.7500  0.7500  4 Ti 2.67, 4 V 2.67
Re  0.2500  0.2500  0.2500  4 V 2.67, 4 Ti 2.67
Re  0.2500  0.7500  0.7500  4 V 2.67, 4 Ti 2.67
Re  0.7500  0.2500  0.7500  4 V 2.67, 4 Ti 2.67
Re  0.7500  0.7500  0.2500  4 V 2.67, 4 Ti 2.67


Record 9
## Tm4TlIr2 (GGA-PBE)

Data for Tm4TlIr2 after structural relaxation.

Results
- E_tot: -42.36 eV/cell
- SG: No. 166
- DOS at the Fermi energy: 0.5421 states/eV/atom

a = 11.1647 Å, b = 11.1647 Å, c = 11.1647 Å
α = 22.75°, β = 22.75°, γ = 22.75°
With the nearest neighbours (Å) after each atom.
Fractional coordinates of all 7 atoms:
Tm  0.1042  0.1042  0.1042  3 Ir 2.85
Tm  0.3011  0.3011  0.3011  3 Ir 2.76
Tm  0.6989  0.6989  0.6989  3 Ir 2.76
Tm  0.8958  0.8958  0.8958  3 Ir 2.85
Tl  0.5000  0.5000  0.5000  6 Tm 3.26, 2 Ir 3.32
Ir  0.3983  0.3983  0.3983  6 Tm 2.76-2.85
Ir  0.6017  0.6017  0.6017  6 Tm 2.76-2.85


Record 10
## Dy3PdRu (GGA-PBE)

Data for Dy3PdRu after structural relaxation.

Results
- Relative energy among the computed polymorphs: 0.081 eV per atom
- SG: No. 148
- DOS at the Fermi energy: 0.5980 states/eV/atom

a = 7.5844 Å, b = 7.5844 Å, c = 7.5844 Å
α = 53.25°, β = 53.25°, γ = 53.25°
With the nearest neighbours (Å) after each atom.
Fractional coordinates of all 10 atoms:
Dy  0.1017  0.3925  0.7415  2 Ru 2.76-2.77, 2 Pd 2.87-2.90
Dy  0.2585  0.8983  0.6075  2 Ru 2.76-2.77, 2 Pd 2.87-2.90
Dy  0.3925  0.7415  0.1017  2 Ru 2.76-2.77, 2 Pd 2.87-2.90
Dy  0.6075  0.2585  0.8983  2 Ru 2.76-2.77, 2 Pd 2.87-2.90
Dy  0.7415  0.1017  0.3925  2 Ru 2.76-2.77, 2 Pd 2.87-2.90
Dy  0.8983  0.6075  0.2585  2 Ru 2.76-2.77, 2 Pd 2.87-2.90
Pd  0.1743  0.1743  0.1743  6 Dy 2.87-2.90, 1 Ru 2.94
Pd  0.8257  0.8257  0.8257  6 Dy 2.87-2.90, 1 Ru 2.94
Ru  0.3252  0.3252  0.3252  6 Dy 2.76-2.77, 1 Pd 2.94
Ru  0.6748  0.6748  0.6748  6 Dy 2.76-2.77, 1 Pd 2.94


Record 11
## BeMoPt2 (GGA-PBE)

Data for BeMoPt2 after structural relaxation.

Results
- E_tot: -55.70 eV/cell
- SG: No. 44
- DOS at the Fermi energy: 0.6640 states/eV/atom

a = 2.7921 Å, b = 4.4071 Å, c = 9.0070 Å
α = 90.00°, β = 90.00°, γ = 90.00°
With the nearest neighbours (Å) after each atom.
Fractional coordinates of all 8 atoms:
Be  0.0000  0.0000  0.0000  2 Pt 2.28, 2 Mo 2.47
Be  0.5000  0.5000  0.5000  2 Pt 2.28, 2 Mo 2.47
Mo  0.0000  0.5000  0.2740  2 Be 2.47, 4 Pt 2.69
Mo  0.5000  0.0000  0.7740  2 Be 2.47, 4 Pt 2.69
Pt  0.0000  0.0000  0.4938  4 Be 2.61, 4 Pt 2.79-2.88, 2 Mo 2.88
Pt  0.0000  0.5000  0.6997  2 Be 2.28
Pt  0.5000  0.0000  0.1997  2 Be 2.28
Pt  0.5000  0.5000  0.9938  4 Be 2.61, 4 Pt 2.79-2.88, 2 Mo 2.88


Record 12
## HfZrAu6 (GGA-PBE)

Data for HfZrAu6 after structural relaxation.

Results
- E_tot: -83.33 eV/cell
- SG: No. 12
- DOS at the Fermi energy: 0.4406 states/eV/atom

a = 8.9263 Å, b = 4.3704 Å, c = 8.7715 Å
α = 90.00°, β = 119.33°, γ = 90.00°
With the nearest neighbours (Å) after each atom.
Fractional coordinates of all 16 atoms:
Hf  0.0000  0.0000  0.0000  12 Au 2.91-3.09
Hf  0.5000  0.5000  0.0000  12 Au 2.91-3.09
Zr  0.0000  0.0000  0.5000  12 Au 2.93-3.10
Zr  0.5000  0.5000  0.5000  12 Au 2.93-3.10
Au  0.0023  0.5000  0.2503  8 Au 2.91-2.95, 2 Hf 3.09, 2 Zr 3.10
Au  0.2492  0.0000  0.3714  1 Hf 2.91, 8 Au 2.91-3.14, 3 Zr 2.93-2.95
Au  0.2505  0.0000  0.8775  3 Hf 2.92, 8 Au 2.92-3.09, 1 Zr 2.95
Au  0.2495  0.5000  0.1225  3 Hf 2.92, 8 Au 2.92-3.09, 1 Zr 2.95
Au  0.2508  0.5000  0.6286  1 Hf 2.91, 8 Au 2.91-3.14, 3 Zr 2.93-2.95
Au  0.4977  0.0000  0.7497  8 Au 2.91-2.95, 2 Hf 3.09, 2 Zr 3.10
Au  0.5023  0.0000  0.2503  8 Au 2.91-2.95, 2 Hf 3.09, 2 Zr 3.10
Au  0.7492  0.5000  0.3714  1 Hf 2.91, 8 Au 2.91-3.14, 3 Zr 2.93-2.95
Au  0.7495  0.0000  0.1225  3 Hf 2.92, 8 Au 2.92-3.09, 1 Zr 2.95
Au  0.7505  0.5000  0.8775  3 Hf 2.92, 8 Au 2.92-3.09, 1 Zr 2.95
Au  0.7508  0.0000  0.6286  1 Hf 2.91, 8 Au 2.91-3.14, 3 Zr 2.93-2.95
Au  0.9977  0.5000  0.7497  8 Au 2.91-2.95, 2 Hf 3.09, 2 Zr 3.10